The following is a DFT calculation (PBE-GGA) of a geometry-optimized Zr2W structure.

Unit cell a=5.857 b=5.857 c=5.857 alpha=146.46 beta=146.46 gamma=48.17
Fractional positions:
Zr 0.150 0.150 0.000
Zr 0.850 0.850 0.000
W 0.500 0.500 0.000

Results
ΔH_f (0 K) = 0.142 eV per atom
Distance to the lowest polymorph of the same formula = 0.0000 eV/atom
Space-group type = I4/mmm
Spin magnetization = 0.03 μB/f.u.
ρ = 9.96 g cm⁻³